No. 1
This record from the Alexandria database describes a geometry-optimized NaHIrN structure. The functional is PBE.

Unit cell a=2.8658 b=3.9027 c=9.0948 alpha=90.00 beta=90.00 gamma=90.00
Closest atoms and distances in Å follow each position.
Sites, in units of the cell vectors:
N 0.0000 0.0000 0.9879  1 H 1.05
N 0.0000 0.5000 0.4879  1 H 1.05
Na 0.5000 0.0000 0.2155  2 N 2.52, 4 H 2.81
Na 0.5000 0.5000 0.7155  2 N 2.52, 4 H 2.81
Ir 0.0000 0.5000 0.0161  2 N 1.97
Ir 0.0000 0.0000 0.5161  2 N 1.97
H 0.0000 0.0000 0.8721  1 N 1.05
H 0.0000 0.5000 0.3721  1 N 1.05

Values from the calculation:
- volume (Å³/cell) = 101.7
- total magnetic moment (μB per cell) = 0.00
- offset from the most stable computed form (meV/atom) = 262
- SG = Amm2, No. 38
- DFT total energy (eV/atom) = -5.25



No. 2
This record from the Alexandria database describes a geometry-optimized NaHIrN structure. The functional is PBE.

Unit cell a=3.9235 b=4.5485 c=2.8596 alpha=90.00 beta=90.00 gamma=90.00
Closest atoms and distances in Å follow each position.
Sites, in units of the cell vectors:
H 0.5000 0.5000 0.4197  1 N 1.05
N 0.5000 0.5000 0.7858  1 H 1.05
Na 0.5000 0.0000 0.2701  2 H 2.31
Ir 0.0000 0.5000 0.8226  2 N 1.96

Values from the calculation:
- volume (Å³/cell) = 51.0
- total magnetic moment (μB per cell) = 0.00
- offset from the most stable computed form (meV/atom) = 232
- SG = Pmm2, No. 25
- DFT total energy (eV/atom) = -5.28



No. 3
This record from the Alexandria database describes a geometry-optimized NaHIrN structure. The functional is PBE.

Unit cell a=5.6089 b=2.7844 c=7.0179 alpha=90.00 beta=122.12 gamma=90.00
Closest atoms and distances in Å follow each position.
Sites, in units of the cell vectors:
H 0.1241 0.5000 0.4924  2 Ir 1.79
H 0.1241 0.0000 0.9924  2 Ir 1.79
N 0.8387 0.5000 0.0941  3 Ir 2.02-2.13
N 0.8387 0.0000 0.5941  3 Ir 2.02-2.13
Ir 0.9169 0.5000 0.8288  2 H 1.79
Ir 0.9169 0.0000 0.3288  2 H 1.79
Na 0.4189 0.5000 0.3336  3 H 2.44-2.49, 2 N 2.50
Na 0.4189 0.0000 0.8336  3 H 2.44-2.49, 2 N 2.50

Values from the calculation:
- volume (Å³/cell) = 92.8
- total magnetic moment (μB per cell) = 0.00
- offset from the most stable computed form (meV/atom) = 194
- SG = Cm, No. 8
- DFT total energy (eV/atom) = -5.32



No. 4
This record from the Alexandria database describes a geometry-optimized NaHIrN structure. The functional is PBE.

Unit cell a=3.3287 b=3.7424 c=4.1734 alpha=90.00 beta=90.00 gamma=90.00
Closest atoms and distances in Å follow each position.
Sites, in units of the cell vectors:
Na 0.5000 0.0000 0.5530  2 H 2.43, 4 N 2.63-2.71
H 0.5000 0.5000 0.9229  2 Ir 1.76
N 0.0000 0.0000 0.0649  2 Ir 1.87
Ir 0.0000 0.5000 0.0570  2 H 1.76, 2 N 1.87

Values from the calculation:
- volume (Å³/cell) = 52.0
- total magnetic moment (μB per cell) = 0.00
- offset from the most stable computed form (meV/atom) = 0
- SG = Pmm2, No. 25
- DFT total energy (eV/atom) = -5.51



No. 5
This record from the Alexandria database describes a geometry-optimized NaHIrN structure. The functional is PBE.

Unit cell a=4.0661 b=2.7910 c=7.2043 alpha=90.00 beta=90.00 gamma=90.00
Closest atoms and distances in Å follow each position.
Sites, in units of the cell vectors:
N 0.0000 0.5000 0.0259  3 Ir 2.04-2.12
N 0.0000 0.0000 0.5259  3 Ir 2.04-2.12
Ir 0.0000 0.0000 0.2316  2 H 2.03, 3 N 2.04-2.12
Ir 0.0000 0.5000 0.7316  2 H 2.03, 3 N 2.04-2.12
H 0.5000 0.5000 0.7338  3 Na 2.02-2.11, 2 Ir 2.03
H 0.5000 0.0000 0.2338  3 Na 2.02-2.11, 2 Ir 2.03
Na 0.5000 0.5000 0.4528  3 H 2.02-2.11
Na 0.5000 0.0000 0.9528  3 H 2.02-2.11

Values from the calculation:
- volume (Å³/cell) = 81.8
- total magnetic moment (μB per cell) = 0.00
- offset from the most stable computed form (meV/atom) = 315
- SG = Amm2, No. 38
- DFT total energy (eV/atom) = -5.20



No. 6
This record from the Alexandria database describes a geometry-optimized NiHIr2N structure. The functional is PBE.

Unit cell a=4.4100 b=2.6475 c=4.4100 alpha=90.00 beta=90.00 gamma=90.00
Closest atoms and distances in Å follow each position.
Sites, in units of the cell vectors:
H 0.0000 0.0000 0.0000  2 N 1.32
N 0.0000 0.5000 0.0000  2 H 1.32
Ir 0.0000 0.0000 0.5000  2 H 2.20
Ir 0.5000 0.0000 0.0000  2 H 2.20
Ni 0.5000 0.5000 0.5000  8 Ir 2.57, 2 Ni 2.65

Values from the calculation:
- volume (Å³/cell) = 51.5
- total magnetic moment (μB per cell) = 0.97
- SG = P4/mmm, No. 123
- DFT total energy (eV/atom) = -5.92



No. 7
This record from the Alexandria database describes a geometry-optimized HIrNO2 structure. The functional is PBE.

Unit cell a=3.8481 b=3.8481 c=2.6312 alpha=90.00 beta=90.00 gamma=90.00
Closest atoms and distances in Å follow each position.
Sites, in units of the cell vectors:
N 0.0000 0.0000 0.5000  2 H 1.32
H 0.0000 0.0000 0.0000  2 N 1.32
O 0.0000 0.5000 0.0000  2 H 1.92
O 0.5000 0.0000 0.0000  2 H 1.92
Ir 0.5000 0.5000 0.5000  8 O 2.33

Values from the calculation:
- volume (Å³/cell) = 39.0
- total magnetic moment (μB per cell) = 0.00
- SG = P4/mmm, No. 123
- DFT total energy (eV/atom) = -4.76



No. 8
This record from the Alexandria database describes a geometry-optimized HIrN2O structure. The functional is PBE.

Unit cell a=3.0639 b=3.0639 c=4.1375 alpha=90.00 beta=90.00 gamma=90.00
Closest atoms and distances in Å follow each position.
Sites, in units of the cell vectors:
O 0.0000 0.0000 0.5000  2 H 2.07, 4 Ir 2.17
N 0.0000 0.5000 0.0000  2 H 1.53
N 0.5000 0.0000 0.0000  2 H 1.53
Ir 0.5000 0.5000 0.5000  4 O 2.17
H 0.0000 0.0000 0.0000  4 N 1.53

Values from the calculation:
- volume (Å³/cell) = 38.8
- total magnetic moment (μB per cell) = 0.00
- SG = P4/mmm, No. 123
- DFT total energy (eV/atom) = -4.90



No. 9
This record from the Alexandria database describes a geometry-optimized HIrNO2 structure. The functional is PBE.

Unit cell a=3.8514 b=3.8514 c=3.7582 alpha=90.00 beta=90.00 gamma=90.00
Closest atoms and distances in Å follow each position.
Sites, in units of the cell vectors:
O 0.5000 0.0000 0.0000  2 Ir 1.93
O 0.0000 0.5000 0.0000  2 Ir 1.93
N 0.0000 0.0000 0.5000  2 Ir 1.88
H 0.5000 0.5000 0.5000  8 O 2.69, 4 N 2.72
Ir 0.0000 0.0000 0.0000  2 N 1.88, 4 O 1.93

Values from the calculation:
- volume (Å³/cell) = 55.7
- total magnetic moment (μB per cell) = 0.99
- SG = P4/mmm, No. 123
- DFT total energy (eV/atom) = -5.33



No. 10
This record from the Alexandria database describes a geometry-optimized HIrN2O structure. The functional is PBE.

Unit cell a=3.7897 b=3.7897 c=3.9211 alpha=90.00 beta=90.00 gamma=90.00
Closest atoms and distances in Å follow each position.
Sites, in units of the cell vectors:
N 0.0000 0.5000 0.0000  2 Ir 1.89
N 0.5000 0.0000 0.0000  2 Ir 1.89
Ir 0.0000 0.0000 0.0000  4 N 1.89, 2 O 1.96
H 0.5000 0.5000 0.5000  4 O 2.68, 8 N 2.73
O 0.0000 0.0000 0.5000  2 Ir 1.96

Values from the calculation:
- volume (Å³/cell) = 56.3
- total magnetic moment (μB per cell) = 1.05
- SG = P4/mmm, No. 123
- DFT total energy (eV/atom) = -5.42



No. 11
This record from the Alexandria database describes a geometry-optimized HIrRh2N structure. The functional is PBE.

Unit cell a=4.0505 b=3.9072 c=4.0505 alpha=90.00 beta=90.00 gamma=90.00
Closest atoms and distances in Å follow each position.
Sites, in units of the cell vectors:
Rh 0.0000 0.0000 0.5000  2 N 2.03
Rh 0.5000 0.0000 0.0000  2 N 2.03
N 0.0000 0.0000 0.0000  2 Ir 1.95, 4 Rh 2.03
Ir 0.0000 0.5000 0.0000  2 N 1.95
H 0.5000 0.5000 0.5000  8 Rh 2.81, 4 Ir 2.86

Values from the calculation:
- volume (Å³/cell) = 64.1
- total magnetic moment (μB per cell) = 0.00
- SG = P4/mmm, No. 123
- DFT total energy (eV/atom) = -6.20



No. 12
This record from the Alexandria database describes a geometry-optimized HIrSN2 structure. The functional is PBE.

Unit cell a=3.8727 b=3.8727 c=3.0029 alpha=90.00 beta=90.00 gamma=90.00
Closest atoms and distances in Å follow each position.
Sites, in units of the cell vectors:
Ir 0.5000 0.5000 0.5000  8 N 2.45, 4 S 2.74
S 0.0000 0.0000 0.5000  2 H 1.50
N 0.5000 0.0000 0.0000  2 H 1.94
N 0.0000 0.5000 0.0000  2 H 1.94
H 0.0000 0.0000 0.0000  2 S 1.50

Values from the calculation:
- volume (Å³/cell) = 45.0
- total magnetic moment (μB per cell) = 0.00
- offset from the most stable computed form (meV/atom) = 722
- SG = P4/mmm, No. 123
- DFT total energy (eV/atom) = -4.56



No. 13
This record from the Alexandria database describes a geometry-optimized HIrSN2 structure. The functional is PBE.

Unit cell a=3.7081 b=3.7081 c=5.2201 alpha=90.00 beta=90.00 gamma=90.00
Closest atoms and distances in Å follow each position.
Sites, in units of the cell vectors:
N 0.5000 0.0000 0.0000  2 Ir 1.85
N 0.0000 0.5000 0.0000  2 Ir 1.85
H 0.5000 0.5000 0.5000  4 S 2.62
S 0.0000 0.0000 0.5000  2 Ir 2.61, 4 H 2.62
Ir 0.0000 0.0000 0.0000  4 N 1.85

Values from the calculation:
- volume (Å³/cell) = 71.8
- total magnetic moment (μB per cell) = 0.44
- offset from the most stable computed form (meV/atom) = 0
- SG = P4/mmm, No. 123
- DFT total energy (eV/atom) = -5.28



No. 14
This record from the Alexandria database describes a geometry-optimized ScH2IrN structure. The functional is PBE.

Unit cell a=3.5923 b=3.5923 c=4.3483 alpha=90.00 beta=90.00 gamma=90.00
Closest atoms and distances in Å follow each position.
Sites, in units of the cell vectors:
H 0.5000 0.0000 0.0000  2 N 1.80
H 0.0000 0.5000 0.0000  2 N 1.80
N 0.0000 0.0000 0.0000  4 H 1.80
Sc 0.0000 0.0000 0.5000  2 N 2.17
Ir 0.5000 0.5000 0.5000  4 Sc 2.54, 8 H 2.82

Values from the calculation:
- volume (Å³/cell) = 56.1
- total magnetic moment (μB per cell) = 0.98
- SG = P4/mmm, No. 123
- DFT total energy (eV/atom) = -5.17



No. 15
This record from the Alexandria database describes a geometry-optimized Si2HIrN structure. The functional is PBE.

Unit cell a=4.4916 b=3.7363 c=4.4916 alpha=90.00 beta=90.00 gamma=90.00
Closest atoms and distances in Å follow each position.
Sites, in units of the cell vectors:
Si 0.5000 0.0000 0.0000  2 N 2.25
Si 0.0000 0.0000 0.5000  2 N 2.25
N 0.0000 0.0000 0.0000  2 Ir 1.87
Ir 0.0000 0.5000 0.0000  2 N 1.87
H 0.5000 0.5000 0.5000  8 Si 2.92, 4 Ir 3.18

Values from the calculation:
- volume (Å³/cell) = 75.4
- total magnetic moment (μB per cell) = 0.00
- SG = P4/mmm, No. 123
- DFT total energy (eV/atom) = -5.08



No. 16
This record from the Alexandria database describes a geometry-optimized SrH2IrN structure. The functional is PBE.

Unit cell a=3.8887 b=3.8887 c=3.8658 alpha=90.00 beta=90.00 gamma=90.00
Closest atoms and distances in Å follow each position.
Sites, in units of the cell vectors:
N 0.0000 0.0000 0.5000  2 Ir 1.93
Sr 0.5000 0.5000 0.5000  8 H 2.74, 4 N 2.75
Ir 0.0000 0.0000 0.0000  2 N 1.93, 4 H 1.94
H 0.0000 0.5000 0.0000  2 Ir 1.94
H 0.5000 0.0000 0.0000  2 Ir 1.94

Values from the calculation:
- volume (Å³/cell) = 58.5
- total magnetic moment (μB per cell) = 0.00
- SG = P4/mmm, No. 123
- DFT total energy (eV/atom) = -5.51



No. 17
This record from the Alexandria database describes a geometry-optimized TcHIrN structure. The functional is PBE.

Unit cell a=4.9124 b=2.8014 c=6.2507 alpha=90.00 beta=97.76 gamma=90.00
Closest atoms and distances in Å follow each position.
Sites, in units of the cell vectors:
H 0.7759 0.5000 0.8689  1 Ir 1.68
H 0.7759 0.0000 0.3689  1 Ir 1.68
Ir 0.7610 0.5000 0.5995  1 H 1.68
Ir 0.7610 0.0000 0.0995  1 H 1.68
Tc 0.2186 0.0000 0.6728  3 N 1.94-2.01
Tc 0.2186 0.5000 0.1728  3 N 1.94-2.01
N 0.3489 0.0000 0.9803  3 Tc 1.94-2.01, 1 Ir 2.06
N 0.3489 0.5000 0.4803  3 Tc 1.94-2.01, 1 Ir 2.06

Values from the calculation:
- volume (Å³/cell) = 85.2
- total magnetic moment (μB per cell) = 0.00
- offset from the most stable computed form (meV/atom) = 255
- SG = Cm, No. 8
- DFT total energy (eV/atom) = -7.54



No. 18
This record from the Alexandria database describes a geometry-optimized TcHIrN structure. The functional is PBE.

Unit cell a=2.6848 b=2.6848 c=6.5020 alpha=101.82 beta=101.62 gamma=90.00
Closest atoms and distances in Å follow each position.
Sites, in units of the cell vectors:
N 0.8695 0.9035 0.3946  1 H 1.04
Ir 0.6384 0.6685 0.9209  4 Ir 2.68, 4 Tc 2.69, 4 H 2.91-2.95, 1 N 2.95
H 0.9517 0.9862 0.5621  1 N 1.04
Tc 0.2874 0.3202 0.2267  4 N 2.17

Values from the calculation:
- volume (Å³/cell) = 44.9
- total magnetic moment (μB per cell) = 0.00
- offset from the most stable computed form (meV/atom) = 294
- SG = P1, No. 1
- DFT total energy (eV/atom) = -7.50



No. 19
This record from the Alexandria database describes a geometry-optimized TcHIrN structure. The functional is PBE.

Unit cell a=3.8861 b=2.8094 c=7.6446 alpha=90.00 beta=92.69 gamma=90.00
Closest atoms and distances in Å follow each position.
Sites, in units of the cell vectors:
N 0.2997 0.0000 0.7577  2 Ir 1.98-2.02, 2 Tc 1.99
N 0.2997 0.5000 0.2577  2 Ir 1.98-2.02, 2 Tc 1.99
H 0.6687 0.5000 0.9622  2 Ir 1.88
H 0.6687 0.0000 0.4622  2 Ir 1.88
Tc 0.3259 0.5000 0.5737  2 N 1.99, 2 H 2.14
Tc 0.3259 0.0000 0.0737  2 N 1.99, 2 H 2.14
Ir 0.8100 0.5000 0.3194  2 H 1.88, 2 N 1.98-2.02
Ir 0.8100 0.0000 0.8194  2 H 1.88, 2 N 1.98-2.02

Values from the calculation:
- volume (Å³/cell) = 83.4
- total magnetic moment (μB per cell) = 0.00
- offset from the most stable computed form (meV/atom) = 381
- SG = Cm, No. 8
- DFT total energy (eV/atom) = -7.41



No. 20
This record from the Alexandria database describes a geometry-optimized TcHIrN structure. The functional is PBE.

Unit cell a=2.8066 b=3.0106 c=10.1496 alpha=90.00 beta=90.00 gamma=90.00
Closest atoms and distances in Å follow each position.
Sites, in units of the cell vectors:
Ir 0.0000 0.0000 0.4536  1 N 1.91
Ir 0.0000 0.5000 0.9536  1 N 1.91
Tc 0.5000 0.5000 0.6239  2 H 1.74
Tc 0.5000 0.0000 0.1239  2 H 1.74
N 0.0000 0.5000 0.7656  1 Ir 1.91, 2 Tc 2.01, 4 H 2.14
N 0.0000 0.0000 0.2656  1 Ir 1.91, 2 Tc 2.01, 4 H 2.14
H 0.5000 0.5000 0.2091  2 Tc 1.74
H 0.5000 0.0000 0.7091  2 Tc 1.74

Values from the calculation:
- volume (Å³/cell) = 85.8
- total magnetic moment (μB per cell) = 0.00
- offset from the most stable computed form (meV/atom) = 351
- SG = Amm2, No. 38
- DFT total energy (eV/atom) = -7.45